No. 1
This record from Alexandria via LeMat-Bulk describes a relaxed AgGe2BiS6 crystal. The functional is PBE-GGA.

abc: 12.8303 12.0107 6.5857
angles: 90.00 106.60 90.00
Space group C2/c (No. 15)
One atom of each set of equivalent atoms:
Ag: 0.0000 0.2030 0.2500
Ge: 0.2017 0.0764 0.7581
Bi: 0.0000 0.3773 0.7500
S: 0.1170 0.4214 0.1746
S: 0.1340 0.0695 0.0405
S: 0.1365 0.2372 0.5994



No. 2
This record from Alexandria via LeMat-Bulk describes a relaxed Ag3GeBi3S8 crystal. The functional is PBE-GGA.

abc: 7.9477 7.9477 19.1529
angles: 90.00 90.00 120.00
Space group R-3m (No. 166, hexagonal axes)
One atom of each set of equivalent atoms:
Ag: 0.0000 0.5000 0.0000
Ge: 0.0000 0.0000 0.5000
Bi: 0.0000 0.5000 0.5000
S: 0.0000 0.0000 0.2523
S: 0.0434 0.5217 0.2436



No. 3
This record from Alexandria via LeMat-Bulk describes a relaxed AgGe2BiSb crystal. The functional is PBE-GGA.

abc: 5.5523 5.5523 5.2386
angles: 90.00 90.00 90.00
Space group P4/mmm (No. 123)
One atom of each set of equivalent atoms:
Ag: 0.0000 0.0000 0.0000
Ge: 0.0000 0.5000 0.5000
Bi: 0.0000 0.0000 0.5000
Sb: 0.5000 0.5000 0.0000



No. 4
This record from Alexandria via LeMat-Bulk describes a relaxed AgGe2BiSe6 crystal. The functional is PBE-GGA.

abc: 13.4674 12.5604 6.8945
angles: 90.00 106.37 90.00
Space group C2/c (No. 15)
One atom of each set of equivalent atoms:
Ag: 0.0000 0.2101 0.2500
Ge: 0.1997 0.0763 0.7609
Bi: 0.0000 0.3798 0.7500
Se: 0.1149 0.4186 0.1775
Se: 0.1304 0.0750 0.0479
Se: 0.1383 0.2422 0.5953



| no. | raw formation energy (eV per atom) |
| --- | --- |
| 1 | -0.25 |
| 2 | -0.21 |
| 3 | 0.89 |
| 4 | -0.22 |